No. 1
Density functional theory data (PBE) for TiSiSn2 after structural relaxation.

DFT total energy = -5.04 eV/atom

Unit cell a=7.736 b=7.736 c=6.195 alpha=51.36 beta=51.36 gamma=90.00
Fractional positions:
Si 0.500 0.500 0.000
Si 0.250 0.750 0.500
Sn 0.610 0.125 0.250
Sn 0.140 0.625 0.250
Sn 0.375 0.390 0.750
Sn 0.875 0.860 0.750
Ti 0.000 0.000 0.000
Ti 0.750 0.250 0.500



No. 2
Density functional theory data (PBE) for Zr2N2O after structural relaxation.

DFT total energy = -9.71 eV/atom

Unit cell a=3.496 b=4.346 c=8.793 alpha=79.31 beta=90.00 gamma=90.00
Fractional positions:
O 0.751 0.816 0.564
O 0.251 0.186 0.438
Zr 0.751 0.292 0.894
Zr 0.751 0.121 0.329
Zr 0.251 0.882 0.673
Zr 0.251 0.710 0.108
N 0.250 0.332 0.752
N 0.249 0.216 0.098
N 0.748 0.786 0.903
N 0.750 0.670 0.250



Asked for DOS(E_F) across the records above, the calculation gives 1.04 0.00 states/eV per atom in order.